Entry 1:
Below is a relaxed structure of CsRb2Li2, with properties calculated at the PBEsol level.

Cell: 8.536 8.536 8.536 Å, 132.71 132.71 69.11°
Sites, in units of the cell vectors:
1 Cs 0.000 0.000 0.000
2 Rb 0.354 0.354 0.000
3 Rb 0.646 0.646 0.000
4 Li 0.250 0.750 0.500
5 Li 0.750 0.250 0.500

Results
* E_form: 233.6 meV/atom
* total magnetic moment: 0.00 μB per cell
* energy relative to the lowest polymorph listed for this composition: 0.062 eV/atom
* total DFT energy (no corrections): -1.15 eV per atom
* SG: No. 139

***

Entry 2:
Below is a relaxed structure of Cs2RbLiSb, with properties calculated at the PBEsol level.

Cell: 7.263 7.263 6.295 Å, 90.00 90.00 90.00°
Sites, in units of the cell vectors:
1 Cs 0.000 0.500 0.000
2 Cs 0.500 0.000 0.000
3 Rb 0.000 0.000 0.000
4 Li 0.500 0.500 0.500
5 Sb 0.000 0.000 0.500

Results
* ΔE_f (raw): 0.3356 eV per atom
* total magnetic moment: 0.69 μB per cell
* total DFT energy (no corrections): -1.55 eV per atom
* SG: No. 123

***

Entry 3:
Below is a relaxed structure of CsLi3Rh, with properties calculated at the PBEsol level.

Cell: 4.981 4.981 4.981 Å, 90.00 90.00 90.00°
Sites, in units of the cell vectors:
1 Cs 0.000 0.000 0.000
2 Li 0.000 0.500 0.500
3 Li 0.500 0.000 0.500
4 Li 0.500 0.500 0.000
5 Rh 0.500 0.500 0.500

Results
* E_form: 273.6 meV/atom
* total magnetic moment: 0.00 μB per cell
* total DFT energy (no corrections): -2.72 eV per atom
* SG: No. 221

***

Entry 4:
Below is a relaxed structure of CsLi2Rh, with properties calculated at the PBEsol level.

Cell: 4.877 4.877 4.877 Å, 60.00 60.00 60.00°
Sites, in units of the cell vectors:
1 Cs 0.000 0.000 0.000
2 Li 0.250 0.250 0.250
3 Li 0.750 0.750 0.750
4 Rh 0.500 0.500 0.500

Results
* E_form: 529.0 meV/atom
* total magnetic moment: 0.00 μB per cell
* total DFT energy (no corrections): -2.72 eV per atom
* SG: No. 225

***

Question: Which value of total magnetic moment does entry 2 give?
Answer: 0.69 μB per cell

***

Question: Look up the total DFT energy (no corrections) of the third one.
Answer: -2.72 eV per atom

***

Question: Which value of total magnetic moment does entry 2 give?
Answer: 0.69 μB per cell

***

Question: Which value of total magnetic moment does entry 2 give?
Answer: 0.69 μB per cell